Material: ZnSe2Br
Method: DFT, PBE
State: relaxed

Output
* DOS at the Fermi energy: 0.62 states/eV/cell
* ΔE to the lowest computed polymorph: 43 kJ/mol of formula units
* energy relative to the elements, uncorrected: -180 meV/atom

Cell lengths 3.7672, 3.7672, 8.2384 Å; angles 90.00, 90.00, 90.00 degrees
Closest atoms and distances in Å follow each position.
Positions (direct):
Se1 0.5000 0.5000 0.1672  4 Se 2.69
Br1 0.5000 0.5000 0.6160  4 Zn 2.81
Se2 0.0000 0.0000 0.2081  1 Zn 2.48, 4 Se 2.69
Zn1 0.0000 0.0000 0.5086  1 Se 2.48



Material: ZnBi2Pb
Method: DFT, PBE
State: relaxed

Output
* DOS at the Fermi energy: 2.17 states/eV/cell
* energy of formation: 125 meV per atom

Cell lengths 4.6289, 4.6289, 7.1146 Å; angles 71.02, 71.02, 60.00 degrees
Closest atoms and distances in Å follow each position.
Positions (direct):
Zn1 0.6684 0.6684 0.9949  6 Bi 2.95-2.99
Bi1 0.2668 0.2668 0.1996  3 Zn 2.99, 3 Pb 3.33
Bi2 0.0648 0.0648 0.8057  3 Zn 2.95
Pb1 0.5001 0.5001 0.4998  6 Bi 3.33-3.35, 1 Zn 3.33



Material: Li2La2Cd3
Method: DFT, PBE
State: relaxed

Output
* DOS at the Fermi energy: 5.32 states/eV/cell
* energy of formation: -228 meV per atom

Cell lengths 4.1094, 3.5072, 12.3808 Å; angles 90.00, 80.45, 90.00 degrees
Closest atoms and distances in Å follow each position.
Positions (direct):
Cd1 0.1728 0.0000 0.6543  6 Li 2.92-3.19
Li1 0.7182 0.5000 0.5637  2 Li 2.58
La1 0.5842 0.5000 0.8317  1 Li 3.27, 8 Cd 3.39-3.46, 2 La 3.51
Li2 0.2818 0.5000 0.4363  2 Li 2.58
Cd2 0.8272 0.0000 0.3457  6 Li 2.92-3.19
Cd3 0.0000 0.0000 0.0000  8 La 3.39, 2 Cd 3.51
La2 0.4158 0.5000 0.1683  1 Li 3.27, 8 Cd 3.39-3.46, 2 La 3.51



Material: Cs2TlAs2
Method: DFT, PBE
State: relaxed

Output
* DOS at the Fermi energy: 4.44 states/eV/cell
* energy of formation: -289 meV per atom
* ΔE to the lowest computed polymorph: 0 kJ/mol of formula units

Cell lengths 7.7228, 6.8893, 9.0594 Å; angles 99.17, 90.00, 124.09 degrees
Closest atoms and distances in Å follow each position.
Positions (direct):
As1 0.9718 0.3047 0.0032  1 As 2.48
As2 0.0282 0.6953 0.9968  1 As 2.48
Cs1 0.7799 0.2979 0.6298  5 As 3.67-3.71, 2 Tl 3.89-4.00, 1 Cs 4.04
Cs2 0.4821 0.7021 0.8702  5 As 3.67-3.71, 2 Tl 3.89-4.00, 1 Cs 4.04
Cs3 0.2201 0.7021 0.3702  5 As 3.67-3.71, 2 Tl 3.89-4.00, 1 Cs 4.04
Cs4 0.5179 0.2979 0.1298  5 As 3.67-3.71, 2 Tl 3.89-4.00, 1 Cs 4.04
As3 0.6671 0.6953 0.4968  1 As 2.48
As4 0.3329 0.3047 0.5032  1 As 2.48
Tl1 0.0471 0.0000 0.7500  4 As 3.14-3.25
Tl2 0.9529 0.0000 0.2500  4 As 3.14-3.25



Material: YSc2Tl
Method: DFT, PBE
State: relaxed

Output
* DOS at the Fermi energy: 4.82 states/eV/cell
* energy of formation: -97 meV per atom
* ΔE to the lowest computed polymorph: 40 kJ/mol of formula units

Cell lengths 3.4307, 4.6069, 6.5258 Å; angles 90.00, 90.00, 90.00 degrees
Closest atoms and distances in Å follow each position.
Positions (direct):
Sc1 0.0000 0.0000 0.4967  4 Sc 3.22-3.43, 4 Tl 3.29, 4 Y 3.31
Y1 0.5000 0.5000 0.7500  2 Tl 3.26, 8 Sc 3.31, 2 Y 3.43
Sc2 0.0000 0.0000 0.0033  4 Sc 3.22-3.43, 4 Tl 3.29, 4 Y 3.31
Tl1 0.5000 0.5000 0.2500  2 Y 3.26, 8 Sc 3.29, 2 Tl 3.43



Material: LiTi2Sn2
Method: DFT, PBE
State: relaxed

Output
* DOS at the Fermi energy: 11.99 states/eV/cell
* energy of formation: -137 meV per atom
* ΔE to the lowest computed polymorph: 20 kJ/mol of formula units

Cell lengths 7.0953, 7.0953, 3.9397 Å; angles 90.00, 90.00, 90.00 degrees
Closest atoms and distances in Å follow each position.
Positions (direct):
Ti1 0.1623 0.6623 0.5000  6 Sn 2.77-2.93
Sn1 0.6432 0.1432 0.0000  2 Li 2.73, 6 Ti 2.77-2.93, 1 Sn 2.87
Ti2 0.3377 0.1623 0.5000  6 Sn 2.77-2.93
Li1 0.5000 0.5000 0.0000  4 Sn 2.73
Ti3 0.8377 0.3377 0.5000  6 Sn 2.77-2.93
Sn2 0.3568 0.8568 0.0000  2 Li 2.73, 6 Ti 2.77-2.93, 1 Sn 2.87
Sn3 0.8568 0.6432 0.0000  2 Li 2.73, 6 Ti 2.77-2.93, 1 Sn 2.87
Li2 0.0000 0.0000 0.0000  4 Sn 2.73
Ti4 0.6623 0.8377 0.5000  6 Sn 2.77-2.93
Sn4 0.1432 0.3568 0.0000  2 Li 2.73, 6 Ti 2.77-2.93, 1 Sn 2.87



Material: Tb2BTe
Method: DFT, PBE
State: relaxed

Output
* DOS at the Fermi energy: 4.18 states/eV/cell
* energy relative to the elements, uncorrected: -658 meV/atom

Cell lengths 3.9390, 3.9390, 7.5861 Å; angles 74.95, 74.95, 60.00 degrees
Closest atoms and distances in Å follow each position.
Positions (direct):
Tb1 0.7347 0.7347 0.7959  3 B 2.71
Tb2 0.2653 0.2653 0.2041  3 B 2.71
B1 0.0000 0.0000 0.0000  6 Tb 2.71
Te1 0.5000 0.5000 0.5000  6 Tb 3.12



Material: Ce2NpUP4
Method: DFT, PBE
State: relaxed

Output
* DOS at the Fermi energy: 18.84 states/eV/cell
* energy of formation: -1202 meV per atom

Cell lengths 4.0103, 6.9285, 7.0212 Å; angles 109.31, 90.00, 90.00 degrees
Closest atoms and distances in Å follow each position.
Positions (direct):
P1 0.5000 0.7523 0.7610  1 U 2.79, 2 Np 2.81, 3 Ce 2.88-2.90
Ce1 0.0000 0.5000 0.5000  6 P 2.88
P2 0.5000 0.2477 0.2390  1 U 2.79, 2 Np 2.81, 3 Ce 2.88-2.90
P3 0.0000 0.7447 0.2386  2 U 2.80, 1 Np 2.81, 3 Ce 2.88-2.89
P4 0.0000 0.2553 0.7614  2 U 2.80, 1 Np 2.81, 3 Ce 2.88-2.89
U1 0.5000 0.5000 0.0000  6 P 2.79-2.80
Ce2 0.5000 0.0000 0.5000  6 P 2.89-2.90
Np1 0.0000 0.0000 0.0000  6 P 2.81



Material: BaTe2As
Method: DFT, PBE
State: relaxed

Output
* DOS at the Fermi energy: 1.72 states/eV/cell
* energy relative to the elements, uncorrected: -556 meV/atom

Cell lengths 7.5672, 7.5672, 7.5672 Å; angles 37.00, 37.00, 37.00 degrees
Closest atoms and distances in Å follow each position.
Positions (direct):
As1 0.2500 0.2500 0.2500  6 Te 3.10
Te1 0.5173 0.5173 0.5173  3 As 3.10
Ba1 0.7500 0.7500 0.7500  6 Te 3.49
Te2 0.9827 0.9827 0.9827  3 As 3.10



Material: CdTe2Ir
Method: DFT, PBE
State: relaxed

Output
* DOS at the Fermi energy: 2.05 states/eV/cell
* energy relative to the elements, uncorrected: 447 meV/atom

Cell lengths 5.1779, 5.1767, 3.2864 Å; angles 90.00, 90.00, 90.00 degrees
Closest atoms and distances in Å follow each position.
Positions (direct):
Te1 0.0000 0.0000 0.0000  4 Ir 3.07, 4 Cd 3.07, 2 Te 3.29
Te2 0.5000 0.5000 0.0000  4 Cd 3.07, 4 Ir 3.07, 2 Te 3.29
Cd1 0.5000 0.0000 0.5000  8 Te 3.07, 2 Cd 3.29
Ir1 0.0000 0.5000 0.5000  8 Te 3.07, 2 Ir 3.29



Material: Na2Tl3Cd5
Method: DFT, PBE
State: relaxed

Output
* DOS at the Fermi energy: 8.30 states/eV/cell
* energy of formation: -41 meV per atom

Cell lengths 6.3177, 9.3207, 9.3208 Å; angles 106.92, 91.70, 91.70 degrees
Closest atoms and distances in Å follow each position.
Positions (direct):
Cd1 0.2500 0.4619 0.5381  6 Cd 3.15-3.36, 4 Tl 3.19-3.45, 2 Na 3.52
Cd2 0.7500 0.5381 0.4619  6 Cd 3.15-3.36, 4 Tl 3.19-3.45, 2 Na 3.52
Tl1 0.3967 0.5227 0.2059  6 Cd 3.11-3.45, 4 Na 3.36-3.48
Cd3 0.5185 0.2241 0.3078  4 Cd 2.98-3.24, 2 Tl 3.11-3.30
Cd4 0.0185 0.3078 0.2241  4 Cd 2.98-3.23, 2 Tl 3.11-3.30
Tl2 0.8967 0.2059 0.5227  6 Cd 3.11-3.45, 4 Na 3.36-3.48
Cd5 0.9815 0.6922 0.7759  4 Cd 2.98-3.23, 2 Tl 3.11-3.30
Tl3 0.2500 0.0602 0.9398  6 Cd 3.14-3.37, 2 Na 3.35
Tl4 0.6033 0.4773 0.7941  6 Cd 3.11-3.45, 4 Na 3.36-3.48
Na1 0.6124 0.8679 0.3770  2 Na 3.23-3.30, 4 Cd 3.33-3.52, 5 Tl 3.35-3.48
Cd6 0.1681 0.9913 0.2616  3 Cd 2.98-3.23, 4 Tl 3.12-3.30, 1 Na 3.33
Tl5 0.1033 0.7941 0.4773  6 Cd 3.11-3.45, 4 Na 3.36-3.48
Na2 0.3876 0.1321 0.6230  2 Na 3.23-3.30, 4 Cd 3.33-3.52, 5 Tl 3.35-3.48
Tl6 0.7500 0.9398 0.0602  6 Cd 3.14-3.37, 2 Na 3.35
Cd7 0.4815 0.7759 0.6922  4 Cd 2.98-3.24, 2 Tl 3.11-3.30
Na3 0.8876 0.6230 0.1321  2 Na 3.23-3.30, 4 Cd 3.33-3.52, 5 Tl 3.35-3.48
Cd8 0.8319 0.0087 0.7384  3 Cd 2.98-3.23, 4 Tl 3.12-3.30, 1 Na 3.33
Na4 0.1124 0.3770 0.8679  2 Na 3.23-3.30, 4 Cd 3.33-3.52, 5 Tl 3.35-3.48
Cd9 0.3319 0.7384 0.0087  3 Cd 2.98-3.24, 4 Tl 3.12-3.30, 1 Na 3.33
Cd10 0.6681 0.2616 0.9913  3 Cd 2.98-3.24, 4 Tl 3.12-3.30, 1 Na 3.33



Material: Mn2AgBS
Method: DFT, PBE
State: relaxed

Output
* DOS at the Fermi energy: 4.62 states/eV/cell
* energy relative to the elements, uncorrected: 370 meV/atom

Cell lengths 4.1384, 4.3395, 4.1384 Å; angles 90.00, 90.00, 90.00 degrees
Closest atoms and distances in Å follow each position.
Positions (direct):
Ag1 0.0000 0.5000 0.0000  2 B 2.17
B1 0.0000 0.0000 0.0000  4 Mn 2.07, 2 Ag 2.17
S1 0.5000 0.5000 0.5000  4 Ag 2.93, 8 Mn 3.00
Mn1 0.0000 0.0000 0.5000  2 B 2.07
Mn2 0.5000 0.0000 0.0000  2 B 2.07